# Tb2Y3Ho6 PBE optimized geometry
data_Tb2Y3Ho6
_chemical_formula_sum 'Tb2 Y3 Ho6'
_cell_length_a 6.1303
_cell_length_b 7.9004
_cell_length_c 7.9359
_cell_angle_alpha 107.48
_cell_angle_beta 104.70
_cell_angle_gamma 97.35
_symmetry_space_group_name_H-M 'P -1'
_symmetry_Int_Tables_number 2
loop_
_symmetry_equiv_pos_as_xyz
'x,y,z'
'-x,-y,-z'
loop_
_atom_site_label
_atom_site_fract_x
_atom_site_fract_y
_atom_site_fract_z
Tb1 0.0906 0.3169 0.3638
Y1 0.0000 0.5000 0.0000
Y2 0.3641 0.7727 0.4549
Ho1 0.1819 0.1364 0.7282
Ho2 0.2725 0.9554 0.0894
Ho3 0.4537 0.5913 0.8190
# Crystal system   triclinic
# Calculated total energy   -5.081 eV/atom
# Energy above the lowest structure with this stoichiometry   0 meV per atom
# DFT formation energy   0.233 eV/f.u.

***

# Tb4YHo7 PBE optimized geometry
data_Tb4YHo7
_chemical_formula_sum 'Tb4 Y1 Ho7'
_cell_length_a 6.4834
_cell_length_b 6.7731
_cell_length_c 9.0093
_cell_angle_alpha 85.78
_cell_angle_beta 76.94
_cell_angle_gamma 81.94
_symmetry_space_group_name_H-M 'P -1'
_symmetry_Int_Tables_number 2
loop_
_symmetry_equiv_pos_as_xyz
'x,y,z'
'-x,-y,-z'
loop_
_atom_site_label
_atom_site_fract_x
_atom_site_fract_y
_atom_site_fract_z
Tb1 0.1378 0.3066 0.2846
Tb2 0.3401 0.8838 0.6904
Y1 0.5000 0.5000 0.0000
Ho1 0.0150 0.2508 0.9480
Ho2 0.1844 0.7988 0.3592
Ho3 0.3096 0.3939 0.6127
Ho4 0.5000 0.0000 0.0000
# Crystal system   triclinic
# Calculated total energy   -4.665 eV/atom
# Energy above the lowest structure with this stoichiometry   0 meV per atom
# DFT formation energy   1.052 eV/f.u.

***

# Tb6Y5Ho PBE optimized geometry
data_Tb6Y5Ho
_chemical_formula_sum 'Tb12 Y10 Ho2'
_cell_length_a 6.1737
_cell_length_b 10.6814
_cell_length_c 11.7926
_cell_angle_alpha 90.00
_cell_angle_beta 99.99
_cell_angle_gamma 90.00
_symmetry_space_group_name_H-M 'C 1 2/m 1'
_symmetry_Int_Tables_number 12
loop_
_symmetry_equiv_pos_as_xyz
'x,y,z'
'-x,-y,-z'
'-x,y,-z'
'x,-y,z'
'x+1/2,y+1/2,z'
'-x+1/2,-y+1/2,-z'
'-x+1/2,y+1/2,-z'
'x+1/2,-y+1/2,z'
loop_
_atom_site_label
_atom_site_fract_x
_atom_site_fract_y
_atom_site_fract_z
Tb1 0.2491 0.1663 0.2495
Tb2 0.2497 0.0000 0.7505
Y1 0.0000 0.1667 0.5000
Y2 0.0000 0.3333 0.0000
Y3 0.0000 0.5000 0.5000
Ho1 0.0000 0.0000 0.0000
# Crystal system   monoclinic
# Calculated total energy   -5.372 eV/atom
# DFT formation energy   0.219 eV/f.u.